[1]
First-principles (PBE) data for PrNd2Er3Bi6 after structural relaxation, as listed in Alexandria via LeMat-Bulk.

Cell: 10.131 10.131 9.062 Å, 102.74 102.74 25.88°
Element x y z (fractional)
Pr: 0.000 0.000 0.000
Nd: 0.333 0.333 0.667
Nd: 0.667 0.667 0.333
Er: 0.000 0.000 0.500
Er: 0.334 0.334 0.167
Er: 0.666 0.666 0.833
Bi: 0.164 0.164 0.589
Bi: 0.170 0.170 0.077
Bi: 0.498 0.498 0.258
Bi: 0.502 0.502 0.742
Bi: 0.830 0.830 0.923
Bi: 0.836 0.836 0.411

* VASP energy: -5.153 eV per atom
* DFT formation energy: -0.8793 eV per atom
* density: 9.2 Mg/m³
* calculated volume: 395.4 Å³/cell

---

[2]
First-principles (PBE) data for V2ReSe6 after structural relaxation, as listed in Alexandria via LeMat-Bulk.

Cell: 8.268 8.268 5.933 Å, 109.53 109.53 80.09°
Element x y z (fractional)
V: 0.164 0.316 0.486
V: 0.316 0.164 0.986
V: 0.684 0.836 0.014
V: 0.836 0.684 0.514
Re: 0.433 0.567 0.750
Re: 0.567 0.433 0.250
Se: 0.037 0.183 0.051
Se: 0.136 0.612 0.450
Se: 0.183 0.037 0.551
Se: 0.262 0.477 0.975
Se: 0.388 0.864 0.050
Se: 0.477 0.262 0.475
Se: 0.523 0.738 0.525
Se: 0.612 0.136 0.950
Se: 0.738 0.523 0.025
Se: 0.817 0.963 0.449
Se: 0.864 0.388 0.550
Se: 0.963 0.817 0.949

* VASP energy: -6.098 eV per atom
* density: 7.0 Mg/m³
* calculated volume: 359.4 Å³/cell

---

[3]
First-principles (PBE) data for Pu2SbCl after structural relaxation, as listed in Alexandria via LeMat-Bulk.

Cell: 5.378 5.378 3.533 Å, 90.00 90.00 90.00°
Element x y z (fractional)
Pu: 0.000 0.500 0.000
Pu: 0.500 0.000 0.000
Sb: 0.000 0.000 0.500
Cl: 0.500 0.500 0.500

* VASP energy: -9.470 eV per atom
* excess energy over the best structure of this formula in the dataset: 100 meV per atom
* density: 10.5 Mg/m³
* calculated volume: 102.2 Å³/cell

---

[4]
First-principles (PBE) data for Co2HgPb after structural relaxation, as listed in Alexandria via LeMat-Bulk.

Cell: 3.233 3.233 6.363 Å, 90.00 90.00 90.00°
Element x y z (fractional)
Co: 0.000 0.000 0.249
Co: 0.000 0.000 0.751
Hg: 0.500 0.500 0.500
Pb: 0.500 0.500 0.000

* VASP energy: -3.996 eV per atom
* excess energy over the best structure of this formula in the dataset: 206 meV per atom
* DFT formation energy: 0.5594 eV per atom
* density: 13.1 Mg/m³
* calculated volume: 66.5 Å³/cell

---

[5]
First-principles (PBE) data for Rb2ZnCdHg after structural relaxation, as listed in Alexandria via LeMat-Bulk.

Cell: 6.857 6.857 5.094 Å, 90.00 90.00 90.00°
Element x y z (fractional)
Rb: 0.000 0.500 0.000
Rb: 0.500 0.000 0.000
Zn: 0.000 0.000 0.000
Cd: 0.000 0.000 0.500
Hg: 0.500 0.500 0.500

* VASP energy: -0.825 eV per atom
* excess energy over the best structure of this formula in the dataset: 0 meV per atom
* DFT formation energy: 0.0602 eV per atom
* density: 3.8 Mg/m³
* calculated volume: 239.5 Å³/cell

---

[6]
First-principles (PBE) data for CaNdTm2Tl4 after structural relaxation, as listed in Alexandria via LeMat-Bulk.

Cell: 9.418 9.418 9.418 Å, 33.28 33.28 33.28°
Element x y z (fractional)
Ca: 0.000 0.000 0.000
Nd: 0.500 0.500 0.500
Tm: 0.252 0.252 0.252
Tm: 0.748 0.748 0.748
Tl: 0.124 0.124 0.124
Tl: 0.374 0.374 0.374
Tl: 0.626 0.626 0.626
Tl: 0.876 0.876 0.876

* VASP energy: -3.494 eV per atom
* DFT formation energy: -0.3467 eV per atom
* density: 9.9 Mg/m³
* calculated volume: 223.9 Å³/cell

---

Which formula does entry 6 have? CaNdTm2Tl4

---

What is the VASP energy in the sixth record? -3.494 eV per atom

---

Which of these has the lowest VASP energy? Pu2SbCl